ZnTe12Pd7 | PBE | optimized geometry

The structure in POSCAR format:
```
ZnTe12Pd7
1.0
6.443 3.720 3.628
-6.443 3.720 3.628
0.000 -7.439 3.628
Zn Te Pd
1 12 7
Cartesian
0.000 0.000 0.000 Zn
-1.095 -4.315 3.545 Te
-1.963 -0.596 3.668 Te
-3.189 3.106 3.545 Te
-4.285 -1.209 7.339 Te
1.498 -1.402 3.668 Te
0.465 1.998 3.668 Te
-0.465 -1.998 7.216 Te
-1.498 1.402 7.216 Te
4.285 1.209 3.545 Te
3.189 -3.106 7.339 Te
1.963 0.596 7.216 Te
1.096 4.315 7.339 Te
-0.411 -1.860 1.888 Pd
-1.405 1.286 1.888 Pd
1.816 0.574 1.888 Pd
0.000 0.000 5.442 Pd
-1.816 -0.574 8.996 Pd
1.405 -1.286 8.996 Pd
0.411 1.860 8.996 Pd
```

Its space-group type is R-3, No. 148. Its uncorrected formation energy is -0.2281 eV per atom.


La2CoP2N6 | PBE | optimized geometry

The structure in POSCAR format:
```
La2CoP2N6
1.0
2.729 1.576 5.150
-2.729 1.576 5.150
0.000 -3.152 5.150
La Co P N
2 1 2 6
Cartesian
0.000 0.000 3.450 La
0.000 0.000 12.001 La
0.000 0.000 0.000 Co
0.000 0.000 6.626 P
0.000 0.000 8.825 P
0.000 -1.603 6.390 N
-1.388 0.802 6.390 N
-1.388 -0.802 9.061 N
1.388 0.802 6.390 N
1.388 -0.802 9.061 N
0.000 1.603 9.061 N
```

Its space-group type is R-3m, No. 166. Its uncorrected formation energy is -0.6286 eV per atom.


Please write out number 2 again, unchanged.
La2CoP2N6 | PBE | optimized geometry

The structure in POSCAR format:
```
La2CoP2N6
1.0
2.729 1.576 5.150
-2.729 1.576 5.150
0.000 -3.152 5.150
La Co P N
2 1 2 6
Cartesian
0.000 0.000 3.450 La
0.000 0.000 12.001 La
0.000 0.000 0.000 Co
0.000 0.000 6.626 P
0.000 0.000 8.825 P
0.000 -1.603 6.390 N
-1.388 0.802 6.390 N
-1.388 -0.802 9.061 N
1.388 0.802 6.390 N
1.388 -0.802 9.061 N
0.000 1.603 9.061 N
```

Its space-group type is R-3m, No. 166. Its uncorrected formation energy is -0.6286 eV per atom.